(1)
Below is a crystal of BaTlN3 relaxed with PBEsol, with properties calculated at the SCAN level.

Formation energy from raw total energies, kcal/mol of atoms: 26.47
Volume, Å³ per cell: 86
DOS(E_F), states/eV/cell: 2.49

a b c (Å): 4.413 4.413 4.413
angles (deg): 90.00 90.00 90.00
Fractional coordinates of all 5 atoms:
Ba 0.000 0.000 0.000
Tl 0.500 0.500 0.500
N 0.000 0.500 0.500
N 0.500 0.000 0.500
N 0.500 0.500 0.000

(2)
Below is a crystal of BaTlN3 relaxed with PBEsol, with properties calculated at the SCAN level.

Formation energy from raw total energies, kcal/mol of atoms: 40.83
Volume, Å³ per cell: 132
DOS(E_F), states/eV/cell: 3.79

a b c (Å): 5.092 5.092 5.092
angles (deg): 90.00 90.00 90.00
Fractional coordinates of all 5 atoms:
Ba 0.000 0.000 0.000
Tl 0.500 0.500 0.500
N 0.000 0.000 0.500
N 0.000 0.500 0.000
N 0.500 0.000 0.000

(3)
Below is a crystal of Ba3V2N4 relaxed with PBEsol, with properties calculated at the SCAN level.

Formation energy from raw total energies, kcal/mol of atoms: -25.00
Volume, Å³ per cell: 355
DOS(E_F), states/eV/cell: 6.78

a b c (Å): 9.296 9.296 9.296
angles (deg): 143.78 62.63 130.76
Fractional coordinates of all 18 atoms:
Ba 0.173 0.423 0.750
Ba 0.182 0.068 0.114
Ba 0.454 0.068 0.386
Ba 0.546 0.932 0.614
Ba 0.818 0.932 0.886
Ba 0.827 0.577 0.250
V 0.101 0.643 0.458
V 0.315 0.357 0.958
V 0.685 0.643 0.042
V 0.899 0.357 0.542
N 0.160 0.584 0.576
N 0.161 0.000 0.661
N 0.161 0.500 0.161
N 0.492 0.416 0.076
N 0.508 0.584 0.924
N 0.839 0.000 0.339
N 0.839 0.500 0.839
N 0.840 0.416 0.424

(4)
Below is a crystal of Ba4VN4 relaxed with PBEsol, with properties calculated at the SCAN level.

Formation energy from raw total energies, kcal/mol of atoms: -23.31
Volume, Å³ per cell: 403
DOS(E_F), states/eV/cell: 0.86

a b c (Å): 6.655 7.130 9.757
angles (deg): 69.91 75.43 69.68
Fractional coordinates of all 18 atoms:
Ba 0.085 0.243 0.439
Ba 0.174 0.182 0.026
Ba 0.388 0.693 0.854
Ba 0.406 0.291 0.655
Ba 0.594 0.709 0.345
Ba 0.612 0.307 0.146
Ba 0.826 0.818 0.974
Ba 0.915 0.757 0.561
V 0.177 0.687 0.219
V 0.823 0.313 0.781
N 0.061 0.091 0.781
N 0.136 0.497 0.151
N 0.246 0.554 0.406
N 0.414 0.763 0.104
N 0.586 0.237 0.896
N 0.754 0.446 0.594
N 0.864 0.503 0.849
N 0.939 0.909 0.219

(5)
Below is a crystal of BaY3N relaxed with PBEsol, with properties calculated at the SCAN level.

Formation energy from raw total energies, kcal/mol of atoms: -7.21
Volume, Å³ per cell: 125
DOS(E_F), states/eV/cell: 3.98

a b c (Å): 4.997 4.997 4.997
angles (deg): 90.00 90.00 90.00
Fractional coordinates of all 5 atoms:
Ba 0.000 0.000 0.000
Y 0.000 0.500 0.500
Y 0.500 0.000 0.500
Y 0.500 0.500 0.000
N 0.500 0.500 0.500

(6)
Below is a crystal of Ba5Zr2N6 relaxed with PBEsol, with properties calculated at the SCAN level.

Formation energy from raw total energies, kcal/mol of atoms: -25.10
Volume, Å³ per cell: 604

a b c (Å): 6.705 6.705 14.738
angles (deg): 95.62 95.62 66.65
Fractional coordinates of all 26 atoms:
Ba 0.105 0.895 0.750
Ba 0.192 0.736 0.018
Ba 0.264 0.808 0.482
Ba 0.284 0.404 0.293
Ba 0.404 0.284 0.793
Ba 0.596 0.716 0.207
Ba 0.716 0.596 0.707
Ba 0.736 0.192 0.518
Ba 0.808 0.264 0.982
Ba 0.895 0.105 0.250
Zr 0.157 0.396 0.576
Zr 0.396 0.157 0.076
Zr 0.604 0.843 0.924
Zr 0.843 0.604 0.424
N 0.055 0.232 0.660
N 0.097 0.300 0.440
N 0.232 0.055 0.160
N 0.300 0.097 0.940
N 0.426 0.463 0.620
N 0.463 0.426 0.120
N 0.537 0.574 0.880
N 0.574 0.537 0.380
N 0.700 0.903 0.060
N 0.768 0.945 0.840
N 0.903 0.700 0.560
N 0.945 0.768 0.340